Below is crystalline FeReIr at its relaxed geometry, with properties calculated at the GGA-PBE level.

Values from the calculation:
* SG: I4mm (107)
* E_tot: -9.78 eV/atom
* ΔE_f: 0.14 eV per atom
* DOS at the Fermi energy: 2.962 states/eV per cell
* offset from the most stable computed form: 0.212 eV per atom

```
FeReIr
1.0
-1.511 1.511 4.555
1.511 -1.511 4.555
1.511 1.511 -4.555
Fe Re Ir
1 1 1
direct
0.000 0.000 0.000
0.649 0.649 0.000
0.336 0.336 0.000
```